Compound: AlRe2Pb
Source: the Alexandria database
Functional: PBE
Structure: relaxed

a b c (Å): 3.031 3.031 8.377
angles (deg): 90.00 90.00 90.00
Positions (direct):
Al 0.000 0.000 0.426
Re 0.500 0.500 0.235
Re 0.000 0.000 0.057
Pb 0.500 0.500 0.782

Formation enthalpy at 0 K (eV per atom): 0.226